Here is crystalline CaNi2IrO6 at its relaxed geometry from Alexandria via LeMat-Bulk. Energies are from PBE with a Hubbard U.

Space-group type = No. 14
Total moment = 1.27 μB per formula unit
Electronic total energy = -115.78 eV for the cell shown

a = 5.369 Å, b = 5.500 Å, c = 9.475 Å
α = 90.00°, β = 123.98°, γ = 90.00°
Positions (direct):
Ca (0.000, 0.000, 0.000)
Ca (0.000, 0.500, 0.500)
Ni (0.191, 0.022, 0.708)
Ni (0.191, 0.478, 0.208)
Ni (0.809, 0.522, 0.792)
Ni (0.809, 0.978, 0.292)
Ir (0.500, 0.000, 0.500)
Ir (0.500, 0.500, 0.000)
O (0.151, 0.145, 0.289)
O (0.151, 0.355, 0.789)
O (0.207, 0.650, 0.028)
O (0.207, 0.850, 0.528)
O (0.481, 0.220, 0.122)
O (0.481, 0.280, 0.622)
O (0.519, 0.720, 0.378)
O (0.519, 0.780, 0.878)
O (0.793, 0.150, 0.472)
O (0.793, 0.350, 0.972)
O (0.849, 0.645, 0.211)
O (0.849, 0.855, 0.711)